Crystalline MoP2SeO at its relaxed geometry, computed with PBE with a Hubbard U.

a = 4.8149 Å, b = 4.8149 Å, c = 3.7269 Å
α = 90.00°, β = 90.00°, γ = 90.00°
Sites, in units of the cell vectors:
Mo 0.0000 0.0000 0.0000
P 0.0000 0.5000 0.5000
P 0.5000 0.0000 0.5000
Se 0.5000 0.5000 0.5000
O 0.5000 0.5000 0.0000

Calculated values
**Volume**: 17.28 A^3/atom
**Offset from the most stable computed form**: 0.4826 eV per atom
**Magnetization**: 0.47 μB per atom
**Density of states at the Fermi level**: 0.46 states/eV/atom